Material: TeOs
Method: DFT, PBE
State: relaxed

Values from the calculation:
DFT total energy: -0.217 hartree per atom
magnetization: 0.0 μB/f.u.
E_form (uncorrected): 1.28 eV per atom

Unit cell a=3.055 b=5.316 c=4.676 alpha=90.00 beta=90.00 gamma=90.00
Space group Cmmm (No. 65)
Asymmetric unit:
Te1 0.000 0.000 0.000
Os1 0.000 0.500 0.500

Material: TeOs
Method: DFT, PBE
State: relaxed

Values from the calculation:
DFT total energy: -0.243 hartree per atom
magnetization: 0.0 μB/f.u.
E_form (uncorrected): 0.57 eV per atom

Unit cell a=2.999 b=3.972 c=7.533 alpha=90.00 beta=90.00 gamma=90.00
Space group Pmmn (No. 59, origin choice 2)
Asymmetric unit:
Te1 0.250 0.250 0.228
Os1 0.250 0.250 0.580

Material: Te5Os
Method: DFT, PBE
State: relaxed

Values from the calculation:
DFT total energy: -0.158 hartree per atom
magnetization: 0.0 μB/f.u.
E_form (uncorrected): 0.18 eV per atom
energy relative to the lowest polymorph listed for this composition: 23 meV/atom

Unit cell a=4.054 b=14.327 c=5.965 alpha=90.00 beta=90.00 gamma=90.00
Space group Cmmm (No. 65)
Asymmetric unit:
Te1 0.000 0.000 0.000
Te2 0.000 0.332 0.000
Te3 0.000 0.380 0.500
Os1 0.000 0.000 0.500

Material: TeOs2
Method: DFT, PBE
State: relaxed

Values from the calculation:
DFT total energy: -0.286 hartree per atom
magnetization: 0.0 μB/f.u.
E_form (uncorrected): 0.75 eV per atom
energy relative to the lowest polymorph listed for this composition: 407 meV/atom

Unit cell a=10.957 b=3.070 c=6.486 alpha=90.00 beta=110.30 gamma=90.00
Space group C2/m (No. 12)
Asymmetric unit:
Te1 0.186 0.000 0.159
Os1 0.058 0.500 0.805
Os2 0.122 0.000 0.506

Material: TeOs
Method: DFT, PBE
State: relaxed

Values from the calculation:
DFT total energy: -0.232 hartree per atom
magnetization: 0.0 μB/f.u.
E_form (uncorrected): 0.86 eV per atom

Unit cell a=3.9257 b=3.9257 c=7.5244 alpha=90.00 beta=90.00 gamma=120.00
Space group P6_3mc (No. 186)
Asymmetric unit:
Te1 0.3333 0.6667 0.0000
Os1 0.3333 0.6667 0.3480

Material: TeOs
Method: DFT, PBE
State: relaxed

Values from the calculation:
DFT total energy: -0.240 hartree per atom
magnetization: 0.0 μB/f.u.
E_form (uncorrected): 0.66 eV per atom

Unit cell a=13.253 b=3.159 c=7.373 alpha=90.00 beta=121.34 gamma=90.00
Space group Cm (No. 8)
Asymmetric unit:
Te1 0.000 0.000 0.000
Te2 0.126 0.500 0.599
Te3 0.366 0.500 0.448
Os1 0.194 0.000 0.384
Os2 0.199 0.500 0.059
Os3 0.288 0.000 0.891

Material: TeOs3
Method: DFT, PBE
State: relaxed

Values from the calculation:
DFT total energy: -0.311 hartree per atom
magnetization: 0.0 μB/f.u.
E_form (uncorrected): 0.76 eV per atom
energy relative to the lowest polymorph listed for this composition: 82 meV/atom

Unit cell a=5.429 b=8.629 c=5.429 alpha=90.00 beta=90.00 gamma=90.00
Space group Pnma (No. 62)
Asymmetric unit:
Te1 0.000 0.250 0.001
Os1 0.000 0.250 0.500
Os2 0.191 0.000 0.191

Material: TeOs3
Method: DFT, PBE
State: relaxed

Values from the calculation:
DFT total energy: -0.306 hartree per atom
magnetization: 0.0 μB/f.u.
E_form (uncorrected): 0.89 eV per atom
energy relative to the lowest polymorph listed for this composition: 213 meV/atom

Unit cell a=3.994 b=3.994 c=15.941 alpha=90.00 beta=90.00 gamma=90.00
Space group I4/mmm (No. 139)
Asymmetric unit:
Te1 0.000 0.000 0.118
Os1 0.000 0.000 0.367
Os2 0.000 0.500 0.000
Os3 0.000 0.500 0.250

Material: TeOs
Method: DFT, PBE
State: relaxed

Values from the calculation:
DFT total energy: -0.229 hartree per atom
magnetization: 0.0 μB/f.u.
E_form (uncorrected): 0.96 eV per atom

Unit cell a=3.274 b=3.274 c=3.453 alpha=90.00 beta=90.00 gamma=90.00
Space group P4/mmm (No. 123)
Asymmetric unit:
Te1 0.000 0.000 0.000
Os1 0.500 0.500 0.500

Material: TeOs
Method: DFT, PBE
State: relaxed

Values from the calculation:
DFT total energy: -0.229 hartree per atom
magnetization: 0.0 μB/f.u.
E_form (uncorrected): 0.95 eV per atom

Unit cell a=2.988 b=5.334 c=10.596 alpha=90.00 beta=90.00 gamma=90.00
Space group Cmme (No. 67)
Asymmetric unit:
Te1 0.000 0.250 0.177
Os1 0.000 0.250 0.599

Material: TeOs2
Method: DFT, PBE
State: relaxed

Values from the calculation:
DFT total energy: -0.275 hartree per atom
magnetization: 0.0 μB/f.u.
E_form (uncorrected): 1.04 eV per atom
energy relative to the lowest polymorph listed for this composition: 702 meV/atom

Unit cell a=5.6009 b=5.6009 c=7.9945 alpha=90.00 beta=90.00 gamma=120.00
Space group P6_3/mmc (No. 194)
Asymmetric unit:
Te1 0.3333 0.6667 0.0525
Os1 0.0000 0.0000 0.0000
Os2 0.1729 0.3457 0.7500

Material: TeOs
Method: DFT, PBE
State: relaxed

Values from the calculation:
DFT total energy: -0.240 hartree per atom
magnetization: 0.0 μB/f.u.
E_form (uncorrected): 0.65 eV per atom

Unit cell a=4.101 b=10.614 c=3.650 alpha=90.00 beta=90.00 gamma=90.00
Space group Cmcm (No. 63)
Asymmetric unit:
Te1 0.000 0.153 0.250
Os1 0.000 0.415 0.250

Material: Te5Os
Method: DFT, PBE
State: relaxed

Values from the calculation:
DFT total energy: -0.140 hartree per atom
magnetization: 0.0 μB/f.u.
E_form (uncorrected): 0.67 eV per atom
energy relative to the lowest polymorph listed for this composition: 509 meV/atom

Unit cell a=4.862 b=12.882 c=5.062 alpha=90.00 beta=90.00 gamma=90.00
Space group Cmmm (No. 65)
Asymmetric unit:
Te1 0.000 0.000 0.000
Te2 0.000 0.132 0.500
Te3 0.000 0.364 0.000
Os1 0.000 0.500 0.500

Material: TeOs3
Method: DFT, PBE
State: relaxed

Values from the calculation:
DFT total energy: -0.309 hartree per atom
magnetization: 0.0 μB/f.u.
E_form (uncorrected): 0.79 eV per atom
energy relative to the lowest polymorph listed for this composition: 117 meV/atom

Unit cell a=2.894 b=3.804 c=5.990 alpha=90.00 beta=90.00 gamma=90.00
Space group Pmmm (No. 47)
Asymmetric unit:
Te1 0.000 0.000 0.000
Os1 0.000 0.000 0.500
Os2 0.500 0.500 0.282

Material: TeOs
Method: DFT, PBE
State: relaxed

Values from the calculation:
DFT total energy: -0.240 hartree per atom
magnetization: 0.0 μB/f.u.
E_form (uncorrected): 0.64 eV per atom

Unit cell a=10.715 b=10.715 c=4.015 alpha=90.00 beta=90.00 gamma=90.00
Space group I4/m (No. 87)
Asymmetric unit:
Te1 0.064 0.707 0.000
Os1 0.178 0.282 0.000

Material: TeOs
Method: DFT, PBE
State: relaxed

Values from the calculation:
DFT total energy: -0.244 hartree per atom
magnetization: 0.0 μB/f.u.
E_form (uncorrected): 0.54 eV per atom

Unit cell a=9.998 b=3.054 c=6.993 alpha=90.00 beta=111.43 gamma=90.00
Space group C2/m (No. 12)
Asymmetric unit:
Te1 0.067 0.000 0.266
Os1 0.143 0.500 0.000

Material: TeOs
Method: DFT, PBE
State: relaxed

Values from the calculation:
DFT total energy: -0.225 hartree per atom
magnetization: 0.0 μB/f.u.
E_form (uncorrected): 1.07 eV per atom

Unit cell a=5.463 b=5.463 c=5.463 alpha=90.00 beta=90.00 gamma=90.00
Space group Fm-3m (No. 225)
Asymmetric unit:
Te1 0.000 0.000 0.000
Os1 0.000 0.000 0.500

Material: TeOs3
Method: DFT, PBE
State: relaxed

Values from the calculation:
DFT total energy: -0.308 hartree per atom
magnetization: 0.0 μB/f.u.
E_form (uncorrected): 0.82 eV per atom
energy relative to the lowest polymorph listed for this composition: 146 meV/atom

Unit cell a=2.908 b=4.073 c=5.619 alpha=90.00 beta=101.72 gamma=90.00
Space group P2/m (No. 10)
Asymmetric unit:
Te1 0.000 0.000 0.000
Os1 0.000 0.000 0.500
Os2 0.399 0.500 0.269

Material: TeOs
Method: DFT, PBE
State: relaxed

Values from the calculation:
DFT total energy: -0.251 hartree per atom
magnetization: 0.0 μB/f.u.
E_form (uncorrected): 0.36 eV per atom

Unit cell a=4.084 b=4.084 c=6.298 alpha=90.00 beta=90.00 gamma=90.00
Space group P4/nmm (No. 129, origin choice 2)
Asymmetric unit:
Te1 0.250 0.250 0.242
Os1 0.250 0.750 0.500

Material: TeOs3
Method: DFT, PBE
State: relaxed

Values from the calculation:
DFT total energy: -0.297 hartree per atom
magnetization: 1.7 μB/f.u.
E_form (uncorrected): 1.12 eV per atom
energy relative to the lowest polymorph listed for this composition: 440 meV/atom

Unit cell a=6.396 b=6.396 c=6.396 alpha=90.00 beta=90.00 gamma=90.00
Space group Fm-3m (No. 225)
Asymmetric unit:
Te1 0.000 0.000 0.000
Os1 0.000 0.000 0.500
Os2 0.250 0.250 0.250

Material: TeOs
Method: DFT, PBE
State: relaxed

Values from the calculation:
DFT total energy: -0.245 hartree per atom
magnetization: 0.0 μB/f.u.
E_form (uncorrected): 0.52 eV per atom

Unit cell a=10.773 b=10.773 c=3.890 alpha=90.00 beta=90.00 gamma=90.00
Space group P4/m (No. 83)
Asymmetric unit:
Te1 0.048 0.729 0.000
Te2 0.244 0.363 0.500
Os1 0.113 0.472 0.000
Os2 0.174 0.610 0.500

Material: TeOs2
Method: DFT, PBE
State: relaxed

Values from the calculation:
DFT total energy: -0.301 hartree per atom
magnetization: 0.0 μB/f.u.
E_form (uncorrected): 0.34 eV per atom
energy relative to the lowest polymorph listed for this composition: 0 meV/atom

Unit cell a=2.893 b=19.198 c=4.308 alpha=90.00 beta=90.00 gamma=90.00
Space group Cmcm (No. 63)
Asymmetric unit:
Te1 0.000 0.170 0.250
Os1 0.000 0.081 0.750
Os2 0.000 0.463 0.750

Material: TeOs
Method: DFT, PBE
State: relaxed

Values from the calculation:
DFT total energy: -0.250 hartree per atom
magnetization: 0.0 μB/f.u.
E_form (uncorrected): 0.39 eV per atom

Unit cell a=3.7740 b=3.7740 c=8.2694 alpha=90.00 beta=90.00 gamma=120.00
Space group P-3m1 (No. 164)
Asymmetric unit:
Te1 0.3333 0.6667 0.2231
Os1 0.3333 0.6667 0.5762

Material: TeOs3
Method: DFT, PBE
State: relaxed

Values from the calculation:
DFT total energy: -0.311 hartree per atom
magnetization: 0.0 μB/f.u.
E_form (uncorrected): 0.75 eV per atom
energy relative to the lowest polymorph listed for this composition: 71 meV/atom

Unit cell a=9.457 b=2.941 c=4.708 alpha=90.00 beta=94.28 gamma=90.00
Space group C2/m (No. 12)
Asymmetric unit:
Te1 0.000 0.000 0.000
Os1 0.000 0.500 0.500
Os2 0.228 0.000 0.724

Material: TeOs2
Method: DFT, PBE
State: relaxed

Values from the calculation:
DFT total energy: -0.277 hartree per atom
magnetization: 0.0 μB/f.u.
E_form (uncorrected): 0.99 eV per atom
energy relative to the lowest polymorph listed for this composition: 652 meV/atom

Unit cell a=3.014 b=15.727 c=4.277 alpha=90.00 beta=90.00 gamma=90.00
Space group Cmcm (No. 63)
Asymmetric unit:
Te1 0.000 0.105 0.250
Os1 0.000 0.219 0.750
Os2 0.000 0.434 0.250

Material: TeOs
Method: DFT, PBE
State: relaxed

Values from the calculation:
DFT total energy: -0.239 hartree per atom
magnetization: 0.0 μB/f.u.
E_form (uncorrected): 0.67 eV per atom

Unit cell a=3.0671 b=3.0671 c=31.0804 alpha=90.00 beta=90.00 gamma=120.00
Space group R-3m (No. 166, hexagonal axes)
Asymmetric unit:
Te1 0.0000 0.0000 0.1031
Os1 0.0000 0.0000 0.3652

Material: TeOs3
Method: DFT, PBE
State: relaxed

Values from the calculation:
DFT total energy: -0.214 hartree per atom
magnetization: 3.1 μB/f.u.
E_form (uncorrected): 3.39 eV per atom
energy relative to the lowest polymorph listed for this composition: 2709 meV/atom

Unit cell a=4.875 b=4.875 c=4.875 alpha=90.00 beta=90.00 gamma=90.00
Space group Pm-3m (No. 221)
Asymmetric unit:
Te1 0.000 0.000 0.000
Os1 0.000 0.000 0.500